1.
Computed, not measured: a relaxed structure of SrMnTc at the GGA-PBE level of DFT.

Summary:
- Size of the total moment: 1.51 μB/f.u.
- Formation enthalpy at 0 K: 0.536 eV/atom
- Energy above the most stable polymorph in this dataset: 0.0000 eV/atom
- Uncorrected energy: -19.6 eV per cell
- SG: P-6m2 (187)

a b c (Å): 3.939 3.939 5.212
angles (deg): 90.00 90.00 120.00
Sites, in units of the cell vectors:
1 Mn 0.000 0.000 0.833
2 Sr 0.333 0.667 0.333
3 Tc 0.667 0.333 0.833

2.
Computed, not measured: a relaxed structure of Sr2MnTc at the GGA-PBE level of DFT.

Summary:
- Size of the total moment: 4.09 μB/f.u.
- Formation enthalpy at 0 K: 0.942 eV/atom
- Energy above the most stable polymorph in this dataset: 0.4433 eV/atom
- Uncorrected energy: -19.1 eV per cell
- SG: I-4m2 (119)

a b c (Å): 5.178 5.178 5.178
angles (deg): 120.22 120.22 89.61
Sites, in units of the cell vectors:
1 Mn 0.750 0.250 0.500
2 Sr 0.000 0.000 0.000
3 Sr 0.250 0.750 0.500
4 Tc 0.500 0.500 0.000

3.
Computed, not measured: a relaxed structure of Sr2MnTc at the GGA-PBE level of DFT.

Summary:
- Size of the total moment: 6.06 μB/f.u.
- Formation enthalpy at 0 K: 0.963 eV/atom
- Energy above the most stable polymorph in this dataset: 0.4649 eV/atom
- Uncorrected energy: -19.0 eV per cell
- SG: Fm-3m (225)

a b c (Å): 5.387 5.387 5.387
angles (deg): 60.00 60.00 60.00
Sites, in units of the cell vectors:
1 Sr 0.250 0.250 0.250
2 Sr 0.750 0.750 0.750
3 Mn 0.000 0.000 0.000
4 Tc 0.500 0.500 0.500

4.
Computed, not measured: a relaxed structure of SrMnTc3 at the GGA-PBE level of DFT.

Summary:
- Size of the total moment: 1.60 μB/f.u.
- Formation enthalpy at 0 K: 0.959 eV/atom
- Energy above the most stable polymorph in this dataset: 0.0000 eV/atom
- Uncorrected energy: -37.2 eV per cell
- SG: Pm-3m (221)

a b c (Å): 4.584 4.584 4.584
angles (deg): 90.00 90.00 90.00
Sites, in units of the cell vectors:
1 Sr 0.500 0.500 0.500
2 Mn 0.000 0.000 0.000
3 Tc 0.000 0.500 0.000
4 Tc 0.000 0.000 0.500
5 Tc 0.500 0.000 0.000

Which formula does entry 3 have? Sr2MnTc

Number 2 is which compound? Sr2MnTc